10
Lattice="-0.4846 -0.4928 -3.7381 5.3022 -0.8792 1.3615 -1.2327 -5.9682 0.9466" Properties=species:S:1:pos:R:3 comment="UCo2SiH GGA-PBE optimized geometry" total_energy_ha_per_atom=-0.2680 pbc="T T T"
Co 2.6205 -3.7421 -1.7793
Co 3.1333 -1.2598 -2.1731
Co 0.9644 -3.5982 0.3493
Co 0.4516 -6.0805 0.7431
U 0.2804 -1.9233 -1.7157
U 3.3045 -5.4170 0.2858
H 0.0000 0.0000 0.0000
H -0.6164 -2.9841 0.4733
Si 2.7393 -2.1700 -0.0690
Si 0.8456 -5.1703 -1.3610